1.
## RbS3O (PBE-GGA)

Data for an optimized crystal structure of RbS3O.

Unit cell a=4.547 b=4.547 c=4.547 alpha=90.00 beta=90.00 gamma=90.00
Atoms (fractional coordinates):
S1 0.000 0.500 0.000
S2 0.500 0.000 0.000
Rb1 0.500 0.500 0.500
S3 0.000 0.000 0.500
O1 0.000 0.000 0.000

Computed properties:
Formation energy without anion corrections ... 480 meV/atom
V ... 94.03 Å³/f.u.
Calculated total energy ... -0.23387 Ry/atom
Symmetry ... Pm-3m, No. 221
Energy above the most stable polymorph in this dataset ... 0.000 eV/atom
D(E_F) ... 3.34 states/eV per cell

2.
## RbS6O2 (PBE-GGA)

Data for an optimized crystal structure of RbS6O2.

Unit cell a=8.386 b=8.386 c=11.409 alpha=50.05 beta=50.05 gamma=68.45
Atoms (fractional coordinates):
S1 0.937 0.764 0.406
S2 0.284 0.008 0.917
S3 0.236 0.063 0.094
O1 0.108 0.248 0.077
S4 0.745 0.424 0.476
S5 0.576 0.255 0.024
O2 0.752 0.892 0.423
S6 0.063 0.236 0.594
Rb1 0.665 0.335 0.250
S7 0.716 0.992 0.083
O3 0.892 0.752 0.923
S8 0.008 0.284 0.417
S9 0.424 0.745 0.976
Rb2 0.335 0.665 0.750
S10 0.255 0.576 0.524
S11 0.764 0.937 0.906
S12 0.992 0.716 0.583
O4 0.248 0.108 0.577

Computed properties:
Formation energy without anion corrections ... -480 meV/atom
V ... 235.04 Å³/f.u.
Calculated total energy ... -0.32637 Ry/atom
Symmetry ... C2/c, No. 15
D(E_F) ... 2.96 states/eV per cell

3.
## Rb8SO2 (PBE-GGA)

Data for an optimized crystal structure of Rb8SO2.

Unit cell a=5.705 b=10.473 c=10.473 alpha=75.62 beta=84.86 gamma=84.86
Atoms (fractional coordinates):
O1 0.305 0.217 0.217
S1 0.000 0.000 0.000
Rb1 0.311 0.257 0.959
Rb2 0.247 0.372 0.372
Rb3 0.689 0.743 0.041
Rb4 0.689 0.041 0.743
Rb5 0.802 0.200 0.200
Rb6 0.753 0.628 0.628
O2 0.695 0.783 0.783
Rb7 0.198 0.800 0.800
Rb8 0.311 0.959 0.257

Computed properties:
Formation energy without anion corrections ... -709 meV/atom
V ... 602.26 Å³/f.u.
Calculated total energy ... -0.19766 Ry/atom
Symmetry ... C2/m, No. 12
D(E_F) ... 3.19 states/eV per cell

4.
## Rb2SO4 (PBE-GGA)

Data for an optimized crystal structure of Rb2SO4.

Unit cell a=6.312 b=6.312 c=6.369 alpha=120.21 beta=120.21 gamma=89.11
Atoms (fractional coordinates):
S1 0.000 0.000 0.000
O1 0.767 0.961 0.000
O2 0.039 0.233 0.000
Rb1 0.250 0.750 0.500
O3 0.961 0.767 0.728
Rb2 0.750 0.250 0.500
O4 0.233 0.039 0.272

Computed properties:
Formation energy without anion corrections ... -1819 meV/atom
V ... 179.64 Å³/f.u.
Calculated total energy ... -0.40559 Ry/atom
Symmetry ... Fmm2, No. 42
Energy above the most stable polymorph in this dataset ... 0.049 eV/atom
D(E_F) ... 0.00 states/eV per cell